Entry 1:
VASP calculation (PBE-GGA) on crystalline Ba2NbGePd at its relaxed geometry.

Cell lengths 6.1419, 6.1419, 4.7530 Å; angles 90.00, 90.00, 90.00 degrees
Fractional coordinates of all 5 atoms:
1 Ba 0.0000 0.5000 0.0000
2 Ba 0.5000 0.0000 0.0000
3 Nb 0.0000 0.0000 0.5000
4 Ge 0.5000 0.5000 0.5000
5 Pd 0.5000 0.5000 0.0000

Calculated values
crystal system	tetragonal
formation energy from the elements	0.43	eV per atom
energy	-4.320	eV per atom

***

Entry 2:
VASP calculation (PBE-GGA) on crystalline RbBaNbGe2 at its relaxed geometry.

Cell lengths 5.5605, 5.5605, 5.8782 Å; angles 90.00, 90.00, 90.00 degrees
Fractional coordinates of all 5 atoms:
1 Rb 0.0000 0.0000 0.0000
2 Ba 0.0000 0.0000 0.5000
3 Nb 0.5000 0.5000 0.5000
4 Ge 0.0000 0.5000 0.0000
5 Ge 0.5000 0.0000 0.0000

Calculated values
crystal system	tetragonal
formation energy from the elements	1.92	eV per atom
energy	-2.517	eV per atom

***

Entry 3:
VASP calculation (PBE-GGA) on crystalline BaNbReGe2 at its relaxed geometry.

Cell lengths 5.1064, 5.1064, 4.9781 Å; angles 90.00, 90.00, 90.00 degrees
Fractional coordinates of all 5 atoms:
1 Ba 0.0000 0.0000 0.0000
2 Nb 0.5000 0.5000 0.5000
3 Re 0.5000 0.5000 0.0000
4 Ge 0.0000 0.5000 0.5000
5 Ge 0.5000 0.0000 0.5000

Calculated values
crystal system	tetragonal
formation energy from the elements	0.53	eV per atom
energy	-6.207	eV per atom

***

Entry 4:
VASP calculation (PBE-GGA) on crystalline BaNbSiGe2 at its relaxed geometry.

Cell lengths 5.0510, 5.0510, 5.8857 Å; angles 90.00, 90.00, 90.00 degrees
Fractional coordinates of all 5 atoms:
1 Ba 0.0000 0.0000 0.0000
2 Nb 0.0000 0.0000 0.5000
3 Si 0.5000 0.5000 0.0000
4 Ge 0.0000 0.5000 0.5000
5 Ge 0.5000 0.0000 0.5000

Calculated values
crystal system	tetragonal
formation energy (no corrections)	3.7	eV per formula unit
energy	-4.599	eV per atom

***

Entry 5:
VASP calculation (PBE-GGA) on crystalline BaSrNb2Ge at its relaxed geometry.

Cell lengths 5.1874, 5.1874, 5.9396 Å; angles 90.00, 90.00, 90.00 degrees
Fractional coordinates of all 5 atoms:
1 Ba 0.0000 0.0000 0.0000
2 Sr 0.0000 0.0000 0.5000
3 Nb 0.0000 0.5000 0.0000
4 Nb 0.5000 0.0000 0.0000
5 Ge 0.5000 0.5000 0.5000

Calculated values
crystal system	tetragonal
formation energy from the elements	2.05	eV per atom
energy	-3.627	eV per atom

***

Entry 6:
VASP calculation (PBE-GGA) on crystalline Ba2NbTcGe at its relaxed geometry.

Cell lengths 5.9872, 5.9872, 5.0304 Å; angles 90.00, 90.00, 90.00 degrees
Fractional coordinates of all 5 atoms:
1 Ba 0.0000 0.5000 0.0000
2 Ba 0.5000 0.0000 0.0000
3 Nb 0.0000 0.0000 0.0000
4 Tc 0.5000 0.5000 0.5000
5 Ge 0.0000 0.0000 0.5000

Calculated values
crystal system	tetragonal
formation energy from the elements	1.28	eV per atom
energy	-4.498	eV per atom

***

Entry 7:
VASP calculation (PBE-GGA) on crystalline Ba2NbZnGe at its relaxed geometry.

Cell lengths 6.1027, 6.1027, 5.0552 Å; angles 90.00, 90.00, 90.00 degrees
Fractional coordinates of all 5 atoms:
1 Ba 0.0000 0.5000 0.0000
2 Ba 0.5000 0.0000 0.0000
3 Nb 0.0000 0.0000 0.0000
4 Zn 0.5000 0.5000 0.5000
5 Ge 0.0000 0.0000 0.5000

Calculated values
crystal system	tetragonal
formation energy from the elements	0.45	eV per atom
energy	-3.509	eV per atom

***

Entry 8:
VASP calculation (PBE-GGA) on crystalline BaNd2Ge6 at its relaxed geometry.

Cell lengths 8.0491, 8.0491, 4.2390 Å; angles 105.09, 105.09, 68.93 degrees
Fractional coordinates of all 9 atoms:
1 Ba 0.0000 0.0000 0.0000
2 Nd 0.3503 0.3503 0.8504
3 Nd 0.6472 0.6472 0.1472
4 Ge 0.0487 0.5776 0.3120
5 Ge 0.3420 0.6554 0.4988
6 Ge 0.4194 0.9488 0.6854
7 Ge 0.5776 0.0487 0.3120
8 Ge 0.6554 0.3420 0.4988
9 Ge 0.9488 0.4194 0.6854

Calculated values
crystal system	monoclinic
formation energy from the elements	-0.48	eV per atom
energy	-4.835	eV per atom

***

Copy entry 7 word for word.
VASP calculation (PBE-GGA) on crystalline Ba2NbZnGe at its relaxed geometry.

Cell lengths 6.1027, 6.1027, 5.0552 Å; angles 90.00, 90.00, 90.00 degrees
Fractional coordinates of all 5 atoms:
1 Ba 0.0000 0.5000 0.0000
2 Ba 0.5000 0.0000 0.0000
3 Nb 0.0000 0.0000 0.0000
4 Zn 0.5000 0.5000 0.5000
5 Ge 0.0000 0.0000 0.5000

Calculated values
crystal system	tetragonal
formation energy from the elements	0.45	eV per atom
energy	-3.509	eV per atom